No. 1
This record from Alexandria describes YBe4Sb after structural relaxation. The functional is PBE.

Cell and atoms, written as extended XYZ:
```
6
Lattice="0.000 3.561 3.561 3.561 0.000 3.561 3.561 3.561 0.000" Properties=species:S:1:pos:R:3 pbc="T T T"
Y 0.000 0.000 0.000
Be 4.519 2.604 2.604
Be 2.604 4.519 2.604
Be 2.604 2.604 4.519
Be 4.519 4.519 4.519
Sb 1.781 1.781 1.781
```

Output
DOS at the Fermi energy ... 4.4 states/eV per cell
M_tot ... 0.000 μB per atom
ΔE_f (raw) ... 30 kJ per mole of atoms
E_tot ... -3.94 eV/atom
Space group ... No. 216

---

No. 2
This record from Alexandria describes NdSn2Pd4 after structural relaxation. The functional is PBE.

Cell and atoms, written as extended XYZ:
```
7
Lattice="2.274 1.313 8.206 -2.274 1.313 8.206 0.000 -2.625 8.206" Properties=species:S:1:pos:R:3 pbc="T T T"
Nd 0.000 0.000 0.000
Sn 0.000 0.000 5.919
Sn 0.000 0.000 18.698
Pd 0.000 0.000 3.237
Pd 0.000 0.000 10.079
Pd 0.000 0.000 14.539
Pd 0.000 0.000 21.381
```

Output
DOS at the Fermi energy ... 4.5 states/eV per cell
M_tot ... 0.000 μB per atom
Offset from the most stable computed form ... 39 meV per atom
E_tot ... -5.40 eV/atom
Space group ... No. 166